A relaxed structure of NiH6S2O12, computed with PBE+U.

Lattice parameters (Å, degrees): 6.0039 6.8890 8.6830 70.85 54.00 76.85
Closest atoms and distances in Å follow each position.
Atoms (fractional coordinates):
H 0.8491 0.9076 0.4231  1 O 1.00
H 0.1509 0.0924 0.5769  1 O 1.00
H 0.2595 0.8171 0.7352  1 O 1.01
H 0.7405 0.1829 0.2648  1 O 1.01
H 0.6801 0.1604 0.9211  1 O 0.98
H 0.3199 0.8396 0.0789  1 O 0.98
O 0.7098 0.1539 0.0223  1 H 0.98
O 0.4271 0.2649 0.4346  1 S 1.48
O 0.5035 0.3683 0.7511  1 S 1.44
O 0.0037 0.9900 0.6656  1 H 1.00
O 0.0629 0.8749 0.8110  1 H 1.01
O 0.9053 0.4681 0.3996  1 S 1.45
O 0.2902 0.8461 0.9777  1 H 0.98
O 0.5729 0.7351 0.5654  1 S 1.48
O 0.0947 0.5319 0.6004  1 S 1.45
O 0.9963 0.0100 0.3344  1 H 1.00
O 0.4965 0.6317 0.2489  1 S 1.44
O 0.9371 0.1251 0.1890  1 H 1.01
S 0.3653 0.4850 0.4376  3 O 1.44-1.48
S 0.6347 0.5150 0.5624  3 O 1.44-1.48
Ni 0.0000 0.0000 0.0000  4 O 1.76-1.91

## Properties
total magnetization: 1.55 μB/f.u.
DOS(E_F): 0.177 states/eV per atom
ΔE to the lowest computed polymorph: 0.1382 eV per atom